## Sr2HgPRh (GGA-PBE)

Data for an optimized crystal structure of Sr2HgPRh. Values from VASP.

Energy (eV/atom): -3.849
Energy relative to the elements (eV per atom): -0.564

Structure (Quantum ESPRESSO input):
```
&SYSTEM
  ibrav = 0, nat = 5, ntyp = 4
/
ATOMIC_SPECIES
Sr 87.62 Sr.upf
Rh 102.91 Rh.upf
Hg 200.59 Hg.upf
P 30.97 P.upf
CELL_PARAMETERS angstrom
-2.028 -0.020 5.480
5.480 0.000 2.029
-0.005 4.447 0.014
ATOMIC_POSITIONS crystal
Sr 0.000 0.500 0.000
Sr 0.500 0.000 0.000
Rh 0.000 0.000 0.000
Hg 0.500 0.500 0.500
P 0.000 0.000 0.500
```